Entry 1:
The following is a PBE calculation of CaZrTl2 after structural relaxation, from the Alexandria database.

Results
Total DFT energy (no corrections), eV/atom: -3.656
Symmetry: I-42d
Formation energy from the elements, eV per atom: 0.16
Calculated density, kg/m3: 7825

Lattice parameters (Å, degrees): 8.1735 8.1735 6.8618 90.00 90.00 90.00
Fractional coordinates of all 16 atoms:
1 Ca 0.0000 0.0000 0.0000
2 Ca 0.0000 0.5000 0.2500
3 Ca 0.5000 0.0000 0.7500
4 Ca 0.5000 0.5000 0.5000
5 Zr 0.0000 0.0000 0.5000
6 Zr 0.0000 0.5000 0.7500
7 Zr 0.5000 0.0000 0.2500
8 Zr 0.5000 0.5000 0.0000
9 Tl 0.2354 0.7500 0.6250
10 Tl 0.2500 0.2354 0.3750
11 Tl 0.2500 0.2646 0.8750
12 Tl 0.2646 0.7500 0.1250
13 Tl 0.7354 0.2500 0.1250
14 Tl 0.7500 0.7354 0.8750
15 Tl 0.7500 0.7646 0.3750
16 Tl 0.7646 0.2500 0.6250


Entry 2:
The following is a PBE calculation of CaZr2Tl2 after structural relaxation, from the Alexandria database.

Results
Total DFT energy (no corrections), eV/atom: -4.756
Symmetry: P4/mbm
Formation energy from the elements, eV per atom: 0.01
Calculated density, kg/m3: 8108
Energy relative to the lowest polymorph listed for this composition, eV per atom: 0.040

Lattice parameters (Å, degrees): 8.8856 8.8856 3.2752 90.00 90.00 90.00
Fractional coordinates of all 10 atoms:
1 Ca 0.0000 0.0000 0.0000
2 Ca 0.5000 0.5000 0.0000
3 Zr 0.1185 0.3815 0.0000
4 Zr 0.3815 0.8815 0.0000
5 Zr 0.6185 0.1185 0.0000
6 Zr 0.8815 0.6185 0.0000
7 Tl 0.1786 0.6786 0.5000
8 Tl 0.3214 0.1786 0.5000
9 Tl 0.6786 0.8214 0.5000
10 Tl 0.8214 0.3214 0.5000


Entry 3:
The following is a PBE calculation of CaZrTl2 after structural relaxation, from the Alexandria database.

Results
Total DFT energy (no corrections), eV/atom: -3.882
Symmetry: Cm
Formation energy from the elements, eV per atom: -0.06
Calculated density, kg/m3: 8566

Lattice parameters (Å, degrees): 11.8443 3.4054 5.4917 90.00 109.03 90.00
Fractional coordinates of all 8 atoms:
1 Ca 0.0000 0.0000 0.0000
2 Ca 0.5000 0.5000 0.0000
3 Zr 0.2352 0.0000 0.5885
4 Zr 0.7352 0.5000 0.5885
5 Tl 0.2505 0.5000 0.0983
6 Tl 0.4883 0.0000 0.5087
7 Tl 0.7505 0.0000 0.0983
8 Tl 0.9883 0.5000 0.5087


Entry 4:
The following is a PBE calculation of CaZrTl2 after structural relaxation, from the Alexandria database.

Results
Total DFT energy (no corrections), eV/atom: -3.725
Symmetry: P4mm
Formation energy from the elements, eV per atom: 0.10
Calculated density, kg/m3: 8076

Lattice parameters (Å, degrees): 3.5104 3.5104 9.0118 90.00 90.00 90.00
Fractional coordinates of all 4 atoms:
1 Ca 0.0000 0.0000 0.0000
2 Zr 0.5000 0.5000 0.7260
3 Tl 0.0000 0.0000 0.5146
4 Tl 0.5000 0.5000 0.2661


Entry 5:
The following is a PBE calculation of CaZrTl2 after structural relaxation, from the Alexandria database.

Results
Total DFT energy (no corrections), eV/atom: -4.015
Symmetry: P4/mmm
Formation energy from the elements, eV per atom: -0.19
Calculated density, kg/m3: 8875

Lattice parameters (Å, degrees): 3.3283 3.3283 9.1213 90.00 90.00 90.00
Fractional coordinates of all 4 atoms:
1 Ca 0.0000 0.0000 0.0000
2 Zr 0.0000 0.0000 0.5000
3 Tl 0.5000 0.5000 0.2608
4 Tl 0.5000 0.5000 0.7392


Entry 6:
The following is a PBE calculation of Ca2ZrTl after structural relaxation, from the Alexandria database.

Results
Total DFT energy (no corrections), eV/atom: -3.546
Symmetry: F-43m
Formation energy from the elements, eV per atom: 0.18
Calculated density, kg/m3: 5556
Energy relative to the lowest polymorph listed for this composition, eV per atom: 0.150

Lattice parameters (Å, degrees): 7.6587 7.6587 7.6587 90.00 90.00 90.00
Fractional coordinates of all 16 atoms:
1 Ca 0.0000 0.0000 0.0000
2 Ca 0.0000 0.5000 0.5000
3 Ca 0.2500 0.2500 0.2500
4 Ca 0.2500 0.7500 0.7500
5 Ca 0.5000 0.0000 0.5000
6 Ca 0.5000 0.5000 0.0000
7 Ca 0.7500 0.2500 0.7500
8 Ca 0.7500 0.7500 0.2500
9 Zr 0.2500 0.2500 0.7500
10 Zr 0.2500 0.7500 0.2500
11 Zr 0.7500 0.2500 0.2500
12 Zr 0.7500 0.7500 0.7500
13 Tl 0.0000 0.0000 0.5000
14 Tl 0.0000 0.5000 0.0000
15 Tl 0.5000 0.0000 0.0000
16 Tl 0.5000 0.5000 0.5000


Entry 7:
The following is a PBE calculation of CaZrTl2 after structural relaxation, from the Alexandria database.

Results
Total DFT energy (no corrections), eV/atom: -3.898
Symmetry: R-3m
Formation energy from the elements, eV per atom: -0.08
Calculated density, kg/m3: 8377

Lattice parameters (Å, degrees): 3.5019 3.5019 30.2429 90.00 90.00 120.00
Fractional coordinates of all 12 atoms:
1 Ca 0.0000 0.0000 0.0000
2 Ca 0.3333 0.6667 0.6667
3 Ca 0.6667 0.3333 0.3333
4 Zr 0.0000 0.0000 0.5000
5 Zr 0.3333 0.6667 0.1667
6 Zr 0.6667 0.3333 0.8333
7 Tl 0.0000 0.0000 0.2476
8 Tl 0.0000 0.0000 0.7524
9 Tl 0.3333 0.6667 0.4191
10 Tl 0.3333 0.6667 0.9143
11 Tl 0.6667 0.3333 0.0857
12 Tl 0.6667 0.3333 0.5809


Entry 8:
The following is a PBE calculation of Ca2ZrTl after structural relaxation, from the Alexandria database.

Results
Total DFT energy (no corrections), eV/atom: -3.359
Symmetry: I-42d
Formation energy from the elements, eV per atom: 0.37
Calculated density, kg/m3: 5109
Energy relative to the lowest polymorph listed for this composition, eV per atom: 0.337

Lattice parameters (Å, degrees): 8.7300 8.7300 6.4099 90.00 90.00 90.00
Fractional coordinates of all 16 atoms:
1 Ca 0.2273 0.2500 0.1250
2 Ca 0.2500 0.7273 0.3750
3 Ca 0.2500 0.7727 0.8750
4 Ca 0.2727 0.2500 0.6250
5 Ca 0.7273 0.7500 0.6250
6 Ca 0.7500 0.2273 0.8750
7 Ca 0.7500 0.2727 0.3750
8 Ca 0.7727 0.7500 0.1250
9 Zr 0.0000 0.0000 0.5000
10 Zr 0.0000 0.5000 0.7500
11 Zr 0.5000 0.0000 0.2500
12 Zr 0.5000 0.5000 0.0000
13 Tl 0.0000 0.0000 0.0000
14 Tl 0.0000 0.5000 0.2500
15 Tl 0.5000 0.0000 0.7500
16 Tl 0.5000 0.5000 0.5000


Entry 9:
The following is a PBE calculation of CaZrTl2 after structural relaxation, from the Alexandria database.

Results
Total DFT energy (no corrections), eV/atom: -3.988
Symmetry: P2/m
Formation energy from the elements, eV per atom: -0.17
Calculated density, kg/m3: 8792

Lattice parameters (Å, degrees): 3.3411 4.2402 7.2002 90.00 90.07 90.00
Fractional coordinates of all 4 atoms:
1 Ca 0.0000 0.0000 0.0000
2 Zr 0.0000 0.0000 0.5000
3 Tl 0.4991 0.5000 0.2662
4 Tl 0.5009 0.5000 0.7338


Entry 10:
The following is a PBE calculation of Ca2ZrTl after structural relaxation, from the Alexandria database.

Results
Total DFT energy (no corrections), eV/atom: -3.541
Symmetry: P4/mmm
Formation energy from the elements, eV per atom: 0.19
Calculated density, kg/m3: 5272
Energy relative to the lowest polymorph listed for this composition, eV per atom: 0.155

Lattice parameters (Å, degrees): 5.6458 5.6458 3.7134 90.00 90.00 90.00
Fractional coordinates of all 4 atoms:
1 Ca 0.0000 0.5000 0.0000
2 Ca 0.5000 0.0000 0.0000
3 Zr 0.0000 0.0000 0.5000
4 Tl 0.5000 0.5000 0.5000


Entry 11:
The following is a PBE calculation of CaZrTl3 after structural relaxation, from the Alexandria database.

Results
Total DFT energy (no corrections), eV/atom: -3.311
Symmetry: Pm-3m
Formation energy from the elements, eV per atom: 0.22
Calculated density, kg/m3: 7011
Energy relative to the lowest polymorph listed for this composition, eV per atom: 0.000

Lattice parameters (Å, degrees): 5.6076 5.6076 5.6076 90.00 90.00 90.00
Fractional coordinates of all 5 atoms:
1 Ca 0.0000 0.0000 0.0000
2 Zr 0.5000 0.5000 0.5000
3 Tl 0.0000 0.5000 0.5000
4 Tl 0.5000 0.0000 0.5000
5 Tl 0.5000 0.5000 0.0000


Entry 12:
The following is a PBE calculation of CaZrTl2 after structural relaxation, from the Alexandria database.

Results
Total DFT energy (no corrections), eV/atom: -3.958
Symmetry: P4/mmm
Formation energy from the elements, eV per atom: -0.14
Calculated density, kg/m3: 8853

Lattice parameters (Å, degrees): 5.4563 5.4563 3.4027 90.00 90.00 90.00
Fractional coordinates of all 4 atoms:
1 Ca 0.0000 0.0000 0.0000
2 Zr 0.5000 0.5000 0.0000
3 Tl 0.0000 0.5000 0.5000
4 Tl 0.5000 0.0000 0.5000